Material: Ba2TiBeTc
Method: DFT, SCAN
State: PBEsol geometry

abc: 4.5275 5.9353 5.9353
angles: 90.00 90.00 90.00
Closest atoms and distances in Å follow each position.
Fractional positions:
Ti (0.5000, 0.0000, 0.0000)  2 Tc 2.26
Be (0.5000, 0.5000, 0.5000)  8 Ba 3.73
Tc (0.0000, 0.0000, 0.0000)  2 Ti 2.26
Ba (0.0000, 0.5000, 0.0000)  2 Tc 2.97
Ba (0.0000, 0.0000, 0.5000)  2 Tc 2.97

Results
Space-group type: P4/mmm
E, eV/atom: -25.964
D(E_F), states/eV/f.u.: 5.72
Volume, Å³/atom: 31.90
Calculated formation energy, kJ/mol of formula units: 456

---

Material: BaBeTe2
Method: DFT, SCAN
State: PBEsol geometry

abc: 4.2649 5.2106 5.2106
angles: 98.61 90.00 90.00
Closest atoms and distances in Å follow each position.
Fractional positions:
Be (0.5000, 0.0000, 0.0000)  8 Te 3.37, 2 Ba 3.40
Te (0.0000, 0.0000, 0.5000)  4 Be 3.37, 4 Ba 3.37, 2 Te 3.40
Te (0.0000, 0.5000, 0.0000)  4 Ba 3.37, 4 Be 3.37, 2 Te 3.40
Ba (0.5000, 0.5000, 0.5000)  8 Te 3.37, 2 Be 3.40

Results
Space-group type: Cmmm
E, eV/atom: -29.850
D(E_F), states/eV/f.u.: 1.47
Volume, Å³/atom: 28.62
Uncorrected formation energy, eV per atom: -0.25

---

Material: BaBeTe2
Method: DFT, SCAN
State: PBEsol geometry

abc: 4.1880 5.0872 6.8670
angles: 93.46 107.75 90.00
Closest atoms and distances in Å follow each position.
Fractional positions:
Te (0.9507, 0.1717, 0.9014)  1 Be 2.31
Te (0.2346, 0.7281, 0.4691)  2 Be 2.43
Ba (0.5175, 0.6804, 0.0350)  7 Te 3.40-3.72, 1 Be 3.78
Be (0.7972, 0.9199, 0.5945)  3 Te 2.31-2.43

Results
Space-group type: Cm
E, eV/atom: -30.614
Volume, Å³/atom: 34.76
Uncorrected formation energy, eV per atom: -1.01

---

Material: Ba2BeTe
Method: DFT, SCAN
State: PBEsol geometry

abc: 4.1726 4.1726 7.7988
angles: 90.00 90.00 90.00
Closest atoms and distances in Å follow each position.
Fractional positions:
Te (0.5000, 0.5000, 0.5000)  8 Ba 3.56, 2 Be 3.90
Ba (0.0000, 0.0000, 0.7566)  4 Be 3.51, 4 Te 3.56, 1 Ba 3.80
Ba (0.0000, 0.0000, 0.2434)  4 Be 3.51, 4 Te 3.56, 1 Ba 3.80
Be (0.5000, 0.5000, 0.0000)  8 Ba 3.51, 2 Te 3.90

Results
Space-group type: P4/mmm
E, eV/atom: -30.717
D(E_F), states/eV/f.u.: 2.00
Volume, Å³/atom: 33.95
Uncorrected formation energy, eV per atom: -0.54